Compound: VRe4F2
Source: Alexandria
Functional: PBE with a Hubbard U
Structure: optimized geometry

Total moment: 2.64 Bohr magnetons per cell
Total energy: -6.9274 eV/atom

Lattice parameters (Å, degrees): 6.358 6.358 6.358 137.40 137.40 61.83
Fractional positions:
V: 0.000 0.000 0.000
Re: 0.000 0.500 0.500
Re: 0.210 0.210 0.000
Re: 0.500 0.000 0.500
Re: 0.790 0.790 0.000
F: 0.397 0.397 0.000
F: 0.603 0.603 0.000